Entry 1:
PBE Ga2HPt, optimized geometry; DOS(E_F) = 1.6 states/eV/cell; offset from the most stable computed form = 0.266 eV per atom
1.0
0.000 3.022 3.022
3.022 0.000 3.022
3.022 3.022 0.000
H Ga Pt
1 2 1
Direct
0.000 0.000 0.000 H
0.250 0.250 0.250 Ga
0.750 0.750 0.750 Ga
0.500 0.500 0.500 Pt


Entry 2:
PBE Mg6CdBi, optimized geometry; calculated formation energy = -0.0463 eV/atom; DOS(E_F) = 2.7 states/eV/cell; offset from the most stable computed form = 0.035 eV per atom
1.0
4.392 4.657 1.252
-5.282 -0.261 3.818
2.416 -3.119 3.129
Mg Cd Bi
6 1 1
Direct
0.663 0.838 0.500 Mg
0.162 0.337 0.500 Mg
0.851 0.688 0.000 Mg
0.312 0.149 0.000 Mg
0.338 0.662 0.000 Mg
0.841 0.159 0.000 Mg
0.170 0.830 0.500 Cd
0.662 0.338 0.500 Bi


Entry 3:
PBE LiDyPdRh, optimized geometry; calculated formation energy = -0.6126 eV/atom; DOS(E_F) = 1.2 states/eV/cell; offset from the most stable computed form = 0.032 eV per atom
1.0
-2.380 1.066 -3.799
-4.533 0.783 0.265
-1.638 4.269 -0.570
Li Rh Pd Dy
1 1 1 1
Direct
0.000 0.000 0.000 Li
0.750 0.750 0.750 Rh
0.250 0.250 0.250 Pd
0.500 0.500 0.500 Dy